No. 1
DFT (GGA-PBE) results for an optimized crystal structure of NdCuSn2Pt.

Lattice parameters (Å, degrees): 4.4631 4.4631 11.0553 90.00 90.00 90.00
With the nearest neighbours (Å) after each atom.
Positions (direct):
Cu  0.0000  0.0000  0.0000  4 Sn 2.62
Cu  0.5000  0.5000  0.0000  4 Sn 2.62
Nd  0.0000  0.5000  0.2388  8 Sn 3.40-3.65, 4 Pt 3.44, 4 Cu 3.46
Nd  0.5000  0.0000  0.7612  8 Sn 3.40-3.65, 4 Pt 3.44, 4 Cu 3.46
Pt  0.5000  0.0000  0.3627  5 Sn 2.63-2.70
Pt  0.0000  0.5000  0.6373  5 Sn 2.63-2.70
Sn  0.5000  0.0000  0.1250  4 Cu 2.62, 1 Pt 2.63
Sn  0.0000  0.0000  0.5000  4 Pt 2.70
Sn  0.5000  0.5000  0.5000  4 Pt 2.70
Sn  0.0000  0.5000  0.8750  4 Cu 2.62, 1 Pt 2.63

Values from the calculation:
raw total energy = -5.158 eV/atom
total magnetic moment = 0.0 μB per cell

***

No. 2
DFT (GGA-PBE) results for an optimized crystal structure of NdZnCuPt3.

Lattice parameters (Å, degrees): 5.4921 5.4921 4.0818 90.00 90.00 120.00
With the nearest neighbours (Å) after each atom.
Positions (direct):
Cu  0.0000  0.0000  0.0000  6 Pt 2.58
Nd  0.3333  0.6667  0.0000  3 Zn 3.17, 3 Cu 3.17, 12 Pt 3.42
Pt  0.3309  0.1654  0.5000  2 Cu 2.58, 2 Zn 2.59, 4 Pt 2.73-2.77
Pt  0.8346  0.1654  0.5000  2 Cu 2.58, 2 Zn 2.59, 4 Pt 2.73-2.77
Pt  0.8346  0.6691  0.5000  2 Cu 2.58, 2 Zn 2.59, 4 Pt 2.73-2.77
Zn  0.6667  0.3333  0.0000  6 Pt 2.59

Values from the calculation:
formation energy from the elements = -0.725 eV/atom
total magnetic moment = 0.0 μB per cell

***

No. 3
DFT (GGA-PBE) results for an optimized crystal structure of NdPuCu.

Lattice parameters (Å, degrees): 4.7416 4.7416 4.7416 60.00 60.00 60.00
With the nearest neighbours (Å) after each atom.
Positions (direct):
Cu  0.0000  0.0000  0.0000  4 Pu 2.90, 4 Nd 2.90
Nd  0.2500  0.2500  0.2500  4 Cu 2.90
Pu  0.7500  0.7500  0.7500  4 Cu 2.90

Values from the calculation:
formation energy from the elements = 0.254 eV/atom
offset from the most stable computed form = 0.00 kJ/mol of atoms
total magnetic moment = 6.6 μB per cell

***

No. 4
DFT (GGA-PBE) results for an optimized crystal structure of NdPu2Cu9.

Lattice parameters (Å, degrees): 8.9738 8.9738 8.9738 32.09 32.09 32.09
With the nearest neighbours (Å) after each atom.
Positions (direct):
Cu  0.5799  0.5799  0.0850  7 Cu 2.45-2.59
Cu  0.3315  0.3315  0.3315  6 Cu 2.50-2.56
Cu  0.9150  0.4201  0.4201  7 Cu 2.45-2.59
Cu  0.4201  0.9150  0.4201  7 Cu 2.45-2.59
Cu  0.5000  0.5000  0.5000  6 Cu 2.59, 6 Pu 2.88
Cu  0.5799  0.0850  0.5799  7 Cu 2.45-2.59
Cu  0.0850  0.5799  0.5799  7 Cu 2.45-2.59
Cu  0.6685  0.6685  0.6685  6 Cu 2.50-2.56
Cu  0.4201  0.4201  0.9150  7 Cu 2.45-2.59
Nd  0.0000  0.0000  0.0000  6 Cu 2.86
Pu  0.1557  0.1557  0.1557  12 Cu 2.85-3.12, 3 Pu 2.92
Pu  0.8443  0.8443  0.8443  12 Cu 2.85-3.12, 3 Pu 2.92

Values from the calculation:
formation energy from the elements = 0.177 eV/atom
total magnetic moment = 0.1 μB per cell

***

No. 5
DFT (GGA-PBE) results for an optimized crystal structure of RbNd2CuS4.

Lattice parameters (Å, degrees): 7.3574 7.3574 14.0612 90.00 90.00 147.69
With the nearest neighbours (Å) after each atom.
Positions (direct):
Cu  0.8362  0.1638  0.2500  4 S 2.36-2.40
Cu  0.1638  0.8362  0.7500  4 S 2.36-2.40
Nd  0.3657  0.6343  0.0614  6 S 2.78-2.92
Nd  0.3657  0.6343  0.4386  6 S 2.78-2.92
Nd  0.6343  0.3657  0.5614  6 S 2.78-2.92
Nd  0.6343  0.3657  0.9386  6 S 2.78-2.92
Rb  0.1066  0.8934  0.2500  6 S 3.29-3.39
Rb  0.8934  0.1066  0.7500  6 S 3.29-3.39
S  0.0000  0.0000  0.0000  4 Nd 2.92
S  0.7403  0.2597  0.1127  1 Cu 2.36
S  0.4248  0.5752  0.2500  2 Cu 2.40
S  0.7403  0.2597  0.3873  1 Cu 2.36
S  0.0000  0.0000  0.5000  4 Nd 2.92
S  0.2597  0.7403  0.6127  1 Cu 2.36
S  0.5752  0.4248  0.7500  2 Cu 2.40
S  0.2597  0.7403  0.8873  1 Cu 2.36

Values from the calculation:
raw total energy = -5.470 eV/atom
total magnetic moment = 0.0 μB per cell

***

No. 6
DFT (GGA-PBE) results for an optimized crystal structure of RbNd2Cu3SeS4.

Lattice parameters (Å, degrees): 7.3329 7.3329 17.3338 90.00 90.00 147.76
With the nearest neighbours (Å) after each atom.
Positions (direct):
Cu  0.9162  0.0838  0.0375  4 S 2.37-2.62
Cu  0.1533  0.8467  0.2500  2 Se 2.39
Cu  0.9162  0.0838  0.4625  4 S 2.37-2.62
Cu  0.0838  0.9162  0.5375  4 S 2.37-2.62
Cu  0.8467  0.1533  0.7500  2 Se 2.39
Cu  0.0838  0.9162  0.9625  4 S 2.37-2.62
Nd  0.6894  0.3106  0.0896  5 S 2.78-2.93, 1 Se 2.88
Nd  0.6894  0.3106  0.4104  5 S 2.78-2.93, 1 Se 2.88
Nd  0.3106  0.6894  0.5896  5 S 2.78-2.93, 1 Se 2.88
Nd  0.3106  0.6894  0.9104  5 S 2.78-2.93, 1 Se 2.88
Rb  0.4389  0.5611  0.2500  2 Se 3.43, 6 S 3.44-3.55, 2 Cu 3.64
Rb  0.5611  0.4389  0.7500  2 Se 3.43, 6 S 3.44-3.55, 2 Cu 3.64
S  0.3373  0.6627  0.0695  2 Cu 2.39
S  0.0570  0.9430  0.1121  2 Cu 2.37-2.62
S  0.0570  0.9430  0.3879  2 Cu 2.37-2.62
S  0.3373  0.6627  0.4305  2 Cu 2.39
S  0.6627  0.3373  0.5695  2 Cu 2.39
S  0.9430  0.0570  0.6121  2 Cu 2.37-2.62
S  0.9430  0.0570  0.8879  2 Cu 2.37-2.62
S  0.6627  0.3373  0.9305  2 Cu 2.39
Se  0.7427  0.2573  0.2500  2 Cu 2.39
Se  0.2573  0.7427  0.7500  2 Cu 2.39

Values from the calculation:
raw total energy = -4.959 eV/atom
total magnetic moment = 0.0 μB per cell

***

No. 7
DFT (GGA-PBE) results for an optimized crystal structure of RbNd2CuSeS3.

Lattice parameters (Å, degrees): 7.4183 7.4183 14.2202 90.00 90.00 147.73
With the nearest neighbours (Å) after each atom.
Positions (direct):
Cu  0.8324  0.1676  0.2500  2 S 2.35, 2 Se 2.50
Cu  0.1676  0.8324  0.7500  2 S 2.35, 2 Se 2.50
Nd  0.3658  0.6342  0.0578  5 S 2.82-2.93, 1 Se 2.89
Nd  0.3658  0.6342  0.4422  5 S 2.82-2.93, 1 Se 2.89
Nd  0.6342  0.3658  0.5578  5 S 2.82-2.93, 1 Se 2.89
Nd  0.6342  0.3658  0.9422  5 S 2.82-2.93, 1 Se 2.89
Rb  0.1149  0.8851  0.2500  2 Se 3.33, 4 S 3.38, 2 Cu 3.72
Rb  0.8851  0.1149  0.7500  2 Se 3.33, 4 S 3.38, 2 Cu 3.72
S  0.0000  0.0000  0.0000  4 Nd 2.93
S  0.7419  0.2581  0.1116  1 Cu 2.35
S  0.7419  0.2581  0.3884  1 Cu 2.35
S  0.0000  0.0000  0.5000  4 Nd 2.93
S  0.2581  0.7419  0.6116  1 Cu 2.35
S  0.2581  0.7419  0.8884  1 Cu 2.35
Se  0.4318  0.5682  0.2500  2 Cu 2.50
Se  0.5682  0.4318  0.7500  2 Cu 2.50

Values from the calculation:
raw total energy = -5.356 eV/atom
total magnetic moment = 0.0 μB per cell

***

No. 8
DFT (GGA-PBE) results for an optimized crystal structure of RbNd2Cu3Se4S.

Lattice parameters (Å, degrees): 7.6420 7.6420 17.4907 90.00 90.00 148.37
With the nearest neighbours (Å) after each atom.
Positions (direct):
Cu  0.5848  0.4152  0.0271  4 Se 2.50-2.56, 1 Cu 2.67
Cu  0.3338  0.6662  0.2500  2 S 2.29
Cu  0.5848  0.4152  0.4729  4 Se 2.50-2.56, 1 Cu 2.67
Cu  0.4152  0.5848  0.5271  4 Se 2.50-2.56, 1 Cu 2.67
Cu  0.6662  0.3338  0.7500  2 S 2.29
Cu  0.4152  0.5848  0.9729  4 Se 2.50-2.56, 1 Cu 2.67
Nd  0.8078  0.1922  0.0938  1 S 2.79, 5 Se 2.93-3.01
Nd  0.8078  0.1922  0.4062  1 S 2.79, 5 Se 2.93-3.01
Nd  0.1922  0.8078  0.5938  1 S 2.79, 5 Se 2.93-3.01
Nd  0.1922  0.8078  0.9062  1 S 2.79, 5 Se 2.93-3.01
Rb  0.0663  0.9337  0.2500  6 Se 3.41-3.62, 2 S 3.63
Rb  0.9337  0.0663  0.7500  6 Se 3.41-3.62, 2 S 3.63
S  0.7683  0.2317  0.2500  2 Cu 2.29
S  0.2317  0.7683  0.7500  2 Cu 2.29
Se  0.1619  0.8381  0.0721  2 Cu 2.50
Se  0.4452  0.5548  0.1150  2 Cu 2.52-2.56
Se  0.4452  0.5548  0.3850  2 Cu 2.52-2.56
Se  0.1619  0.8381  0.4279  2 Cu 2.50
Se  0.8381  0.1619  0.5721  2 Cu 2.50
Se  0.5548  0.4452  0.6150  2 Cu 2.52-2.56
Se  0.5548  0.4452  0.8850  2 Cu 2.52-2.56
Se  0.8381  0.1619  0.9279  2 Cu 2.50

Values from the calculation:
raw total energy = -4.748 eV/atom
total magnetic moment = 0.0 μB per cell